# meta-GGA SCAN Ba4Li3, PBEsol geometry
data_Ba4Li3
_cell_length_a 6.8268
_cell_length_b 6.8268
_cell_length_c 7.5185
_cell_angle_alpha 90.00
_cell_angle_beta 90.00
_cell_angle_gamma 120.00
_symmetry_space_group_name_H-M 'P 6/m m m'
_symmetry_Int_Tables_number 191
_symmetry_space_group_name_Hall '-P 6 2'
loop_
_atom_site_label
_atom_site_fract_x
_atom_site_fract_y
_atom_site_fract_z
_atom_site_occupancy
Ba1 0.0000 0.0000 0.2465 1
Ba2 0.3333 0.6667 0.5000 1
Li1 0.0000 0.5000 0.0000 1
# DOS at the Fermi energy: 7.66 states/eV/f.u.
# Energy relative to the elements: 8 kJ/mol of atoms

=====

# meta-GGA SCAN SbRhBr2, PBEsol geometry
data_SbRhBr2
_cell_length_a 3.251
_cell_length_b 4.605
_cell_length_c 5.566
_cell_angle_alpha 90.00
_cell_angle_beta 90.00
_cell_angle_gamma 90.00
_symmetry_space_group_name_H-M 'P m m m'
_symmetry_Int_Tables_number 47
loop_
_symmetry_equiv_pos_as_xyz
'x,y,z'
'-x,-y,-z'
'-x,-y,z'
'x,y,-z'
'x,-y,-z'
'-x,y,z'
'-x,y,-z'
'x,-y,z'
loop_
_atom_site_label
_atom_site_fract_x
_atom_site_fract_y
_atom_site_fract_z
_atom_site_occupancy
Sb1 0.000 0.000 0.000 1
Rh1 0.500 0.000 0.500 1
Br1 0.000 0.500 0.500 1
Br2 0.500 0.500 0.000 1
# DOS at the Fermi energy: 2.39 states/eV/f.u.
# ΔE_f (raw): 451 meV/atom

=====

# meta-GGA SCAN ScIn2Ag2, PBEsol geometry
data_ScIn2Ag2
_cell_length_a 3.998
_cell_length_b 3.998
_cell_length_c 13.147
_cell_angle_alpha 90.00
_cell_angle_beta 90.00
_cell_angle_gamma 90.00
_symmetry_space_group_name_H-M 'I 4/m m m'
_symmetry_Int_Tables_number 139
_symmetry_space_group_name_Hall '-I 4 2'
loop_
_atom_site_label
_atom_site_fract_x
_atom_site_fract_y
_atom_site_fract_z
_atom_site_occupancy
Sc1 0.000 0.000 0.000 1
In1 0.000 0.000 0.396 1
Ag1 0.000 0.500 0.250 1
# DOS at the Fermi energy: 3.05 states/eV/f.u.
# Energy relative to the elements: -12 kJ/mol of atoms

=====

# meta-GGA SCAN La2Ga9Ru3, PBEsol geometry
data_La2Ga9Ru3
_cell_length_a 12.829
_cell_length_b 7.632
_cell_length_c 9.784
_cell_angle_alpha 90.00
_cell_angle_beta 90.00
_cell_angle_gamma 90.00
_symmetry_space_group_name_H-M 'C m c m'
_symmetry_Int_Tables_number 63
_symmetry_space_group_name_Hall '-C 2c 2'
loop_
_atom_site_label
_atom_site_fract_x
_atom_site_fract_y
_atom_site_fract_z
_atom_site_occupancy
La1 0.161 0.162 0.250 1
Ga1 0.000 0.139 0.750 1
Ga2 0.000 0.340 0.054 1
Ga3 0.105 0.446 0.750 1
Ga4 0.163 0.177 0.573 1
Ru1 0.000 0.000 0.000 1
Ru2 0.175 0.500 0.000 1
# DOS at the Fermi energy: 5.97 states/eV/f.u.
# Energy relative to the elements: -59 kJ/mol of atoms

=====

# meta-GGA SCAN ZrCdIn2, PBEsol geometry
data_ZrCdIn2
_cell_length_a 4.403
_cell_length_b 4.403
_cell_length_c 4.300
_cell_angle_alpha 90.00
_cell_angle_beta 90.00
_cell_angle_gamma 90.00
_symmetry_space_group_name_H-M 'P 4/m m m'
_symmetry_Int_Tables_number 123
_symmetry_space_group_name_Hall '-P 4 2'
loop_
_atom_site_label
_atom_site_fract_x
_atom_site_fract_y
_atom_site_fract_z
_atom_site_occupancy
Zr1 0.000 0.000 0.000 1
Cd1 0.500 0.500 0.000 1
In1 0.000 0.500 0.500 1
# DOS at the Fermi energy: 0.86 states/eV/f.u.
# Energy relative to the elements: -34 kJ/mol of atoms

=====

# meta-GGA SCAN Nb2Ga2Pd, PBEsol geometry
data_Nb2Ga2Pd
_cell_length_a 3.399
_cell_length_b 3.399
_cell_length_c 14.723
_cell_angle_alpha 90.00
_cell_angle_beta 90.00
_cell_angle_gamma 90.00
_symmetry_space_group_name_H-M 'I 4/m m m'
_symmetry_Int_Tables_number 139
_symmetry_space_group_name_Hall '-I 4 2'
loop_
_atom_site_label
_atom_site_fract_x
_atom_site_fract_y
_atom_site_fract_z
_atom_site_occupancy
Nb1 0.000 0.000 0.100 1
Ga1 0.000 0.500 0.250 1
Pd1 0.000 0.000 0.500 1
# DOS at the Fermi energy: 4.19 states/eV/f.u.
# Energy relative to the elements: 15 kJ/mol of atoms

=====

# meta-GGA SCAN TiBeNb2, PBEsol geometry
data_TiBeNb2
_cell_length_a 7.026
_cell_length_b 7.026
_cell_length_c 5.126
_cell_angle_alpha 90.00
_cell_angle_beta 90.00
_cell_angle_gamma 90.00
_symmetry_space_group_name_H-M 'I -4 2 d'
_symmetry_Int_Tables_number 122
_symmetry_space_group_name_Hall 'I -4 2bw'
loop_
_atom_site_label
_atom_site_fract_x
_atom_site_fract_y
_atom_site_fract_z
_atom_site_occupancy
Ti1 0.000 0.000 0.000 1
Be1 0.000 0.000 0.500 1
Nb1 0.221 0.750 0.625 1
# DOS at the Fermi energy: 2.98 states/eV/f.u.
# Energy relative to the elements: 34 kJ/mol of atoms

=====

# meta-GGA SCAN Re2GePb, PBEsol geometry
data_Re2GePb
_cell_length_a 6.396
_cell_length_b 6.396
_cell_length_c 6.396
_cell_angle_alpha 90.00
_cell_angle_beta 90.00
_cell_angle_gamma 90.00
_symmetry_space_group_name_H-M 'F m -3 m'
_symmetry_Int_Tables_number 225
_symmetry_space_group_name_Hall '-F 4 2 3'
loop_
_atom_site_label
_atom_site_fract_x
_atom_site_fract_y
_atom_site_fract_z
_atom_site_occupancy
Re1 0.250 0.250 0.250 1
Ge1 0.000 0.000 0.000 1
Pb1 0.000 0.000 0.500 1
# DOS at the Fermi energy: 3.25 states/eV/f.u.
# Energy relative to the elements: 98 kJ/mol of atoms

=====

# meta-GGA SCAN AgC4, PBEsol geometry
data_AgC4
_cell_length_a 5.249
_cell_length_b 5.249
_cell_length_c 4.946
_cell_angle_alpha 90.00
_cell_angle_beta 90.00
_cell_angle_gamma 90.00
_symmetry_space_group_name_H-M 'I 4/m m m'
_symmetry_Int_Tables_number 139
_symmetry_space_group_name_Hall '-I 4 2'
loop_
_atom_site_label
_atom_site_fract_x
_atom_site_fract_y
_atom_site_fract_z
_atom_site_occupancy
Ag1 0.000 0.000 0.000 1
C1 0.000 0.380 0.000 1
# DOS at the Fermi energy: 0.70 states/eV/f.u.
# Energy relative to the elements: 190 kJ/mol of atoms

=====

# meta-GGA SCAN LiSnN, PBEsol geometry
data_LiSnN
_cell_length_a 3.2310
_cell_length_b 3.2310
_cell_length_c 9.8630
_cell_angle_alpha 90.00
_cell_angle_beta 90.00
_cell_angle_gamma 120.00
_symmetry_space_group_name_H-M 'P 63 m c'
_symmetry_Int_Tables_number 186
_symmetry_space_group_name_Hall 'P 6c -2c'
loop_
_atom_site_label
_atom_site_fract_x
_atom_site_fract_y
_atom_site_fract_z
_atom_site_occupancy
Li1 0.3333 0.6667 0.0000 1
Sn1 0.0000 0.0000 0.2333 1
N1 0.3333 0.6667 0.6155 1
# ΔE_f (raw): -243 meV/atom

=====

# meta-GGA SCAN CoSe2, PBEsol geometry
data_CoSe2
_cell_length_a 5.730
_cell_length_b 5.730
_cell_length_c 5.730
_cell_angle_alpha 90.00
_cell_angle_beta 90.00
_cell_angle_gamma 90.00
_symmetry_space_group_name_H-M 'P a -3'
_symmetry_Int_Tables_number 205
_symmetry_space_group_name_Hall '-P 2ac 2ab 3'
loop_
_atom_site_label
_atom_site_fract_x
_atom_site_fract_y
_atom_site_fract_z
_atom_site_occupancy
Co1 0.000 0.000 0.000 1
Se1 0.129 0.629 0.871 1
# DOS at the Fermi energy: 0.82 states/eV/f.u.
# ΔE_f (raw): -319 meV/atom

=====

# meta-GGA SCAN Mg2TlGa2, PBEsol geometry
data_Mg2TlGa2
_cell_length_a 8.105
_cell_length_b 8.105
_cell_length_c 3.153
_cell_angle_alpha 90.00
_cell_angle_beta 90.00
_cell_angle_gamma 90.00
_symmetry_space_group_name_H-M 'P 4/m b m'
_symmetry_Int_Tables_number 127
_symmetry_space_group_name_Hall '-P 4 2ab'
loop_
_atom_site_label
_atom_site_fract_x
_atom_site_fract_y
_atom_site_fract_z
_atom_site_occupancy
Mg1 0.182 0.318 0.000 1
Tl1 0.000 0.000 0.500 1
Ga1 0.114 0.614 0.500 1
# DOS at the Fermi energy: 1.95 states/eV/f.u.
# Energy relative to the elements: -8 kJ/mol of atoms

=====

# meta-GGA SCAN CeAlNi4, PBEsol geometry
data_CeAlNi4
_cell_length_a 4.970
_cell_length_b 8.235
_cell_length_c 4.030
_cell_angle_alpha 90.00
_cell_angle_beta 90.00
_cell_angle_gamma 90.00
_symmetry_space_group_name_H-M 'C m m m'
_symmetry_Int_Tables_number 65
_symmetry_space_group_name_Hall '-C 2 2'
loop_
_atom_site_label
_atom_site_fract_x
_atom_site_fract_y
_atom_site_fract_z
_atom_site_occupancy
Ce1 0.000 0.000 0.000 1
Al1 0.000 0.500 0.500 1
Ni1 0.000 0.328 0.000 1
Ni2 0.250 0.250 0.500 1
# DOS at the Fermi energy: 4.63 states/eV/f.u.
# Energy relative to the elements: -48 kJ/mol of atoms

=====

Number 1: total moment 0.50 μB per cell, ρ 3.120 Mg/m³. Number 2: total moment 0.00 μB per cell, ρ 7.661 Mg/m³. Number 3: total moment 0.00 μB per cell, ρ 7.748 Mg/m³. Number 4: total moment 0.00 μB per cell, ρ 8.380 Mg/m³. Number 5: total moment 0.00 μB per cell, ρ 8.632 Mg/m³. Number 6: total moment 0.00 μB per cell, ρ 8.428 Mg/m³. Number 7: total moment 0.00 μB per cell, ρ 6.370 Mg/m³. Number 8: total moment 0.00 μB per cell, ρ 16.559 Mg/m³. Number 9: total moment 0.00 μB per cell, ρ 3.800 Mg/m³. Number 10: total moment 0.00 μB per cell, ρ 5.202 Mg/m³. Number 11: total moment 3.78 μB per cell, ρ 7.657 Mg/m³. Number 12: total moment 0.00 μB per cell, ρ 6.292 Mg/m³. Number 13: total moment 0.00 μB per cell, ρ 8.093 Mg/m³.